Entry from Alexandria via LeMat-Bulk: an optimized crystal structure of Nb3Ru5Pt (PBE).

Calculated values
- Formation energy from the elements: 0.4322 eV per atom
- Final energy: -78.74 eV per formula unit
- Total moment: 0.00 μB per cell

a b c (Å): 7.6425 7.6425 7.6425
angles (deg): 122.75 122.75 85.30
With the nearest neighbours (Å) after each atom.
Atoms (fractional coordinates):
1 Nb 0.1195 0.6195 0.7390  2 Ru 2.35, 1 Nb 2.47
2 Nb 0.2500 0.2500 0.0000  10 Ru 2.81-2.91
3 Nb 0.3805 0.1195 0.5000  2 Ru 2.35, 1 Nb 2.47
4 Nb 0.6195 0.8805 0.5000  2 Ru 2.35, 1 Nb 2.47
5 Nb 0.7500 0.7500 0.0000  10 Ru 2.81-2.91
6 Nb 0.8805 0.3805 0.2610  2 Ru 2.35, 1 Nb 2.47
7 Ru 0.0000 0.0000 0.0000  6 Nb 2.81-2.92, 8 Ru 3.04
8 Ru 0.0723 0.1536 0.5000  1 Nb 2.35, 1 Pt 2.51
9 Ru 0.1536 0.6536 0.0813  1 Nb 2.35, 1 Pt 2.51
10 Ru 0.3464 0.4277 0.5000  1 Nb 2.35, 1 Pt 2.51
11 Ru 0.4277 0.9277 0.0813  1 Nb 2.35, 1 Pt 2.51
12 Ru 0.5000 0.5000 0.0000  6 Nb 2.81-2.92, 8 Ru 3.04
13 Ru 0.5723 0.0723 0.9187  1 Nb 2.35, 1 Pt 2.51
14 Ru 0.6536 0.5723 0.5000  1 Nb 2.35, 1 Pt 2.51
15 Ru 0.8464 0.3464 0.9187  1 Nb 2.35, 1 Pt 2.51
16 Ru 0.9277 0.8464 0.5000  1 Nb 2.35, 1 Pt 2.51
17 Pt 0.2500 0.7500 0.5000  4 Ru 2.51
18 Pt 0.7500 0.2500 0.5000  4 Ru 2.51



Entry from Alexandria via LeMat-Bulk: an optimized crystal structure of NbRuPt (PBE).

Calculated values
- Distance to the lowest polymorph of the same formula: 38 meV per atom
- Formation energy from the elements: -0.3880 eV per atom
- Final energy: -26.55 eV per formula unit
- Total moment: 0.00 μB per cell

a b c (Å): 4.4860 4.4860 5.5107
angles (deg): 90.00 90.00 120.00
With the nearest neighbours (Å) after each atom.
Atoms (fractional coordinates):
1 Nb 0.3333 0.6667 0.2500  5 Pt 2.59-2.76
2 Nb 0.6667 0.3333 0.7500  5 Pt 2.59-2.76
3 Ru 0.0000 0.0000 0.0000  2 Ru 2.76, 6 Nb 2.93, 6 Pt 2.93
4 Ru 0.0000 0.0000 0.5000  2 Ru 2.76, 6 Nb 2.93, 6 Pt 2.93
5 Pt 0.3333 0.6667 0.7500  5 Nb 2.59-2.76
6 Pt 0.6667 0.3333 0.2500  5 Nb 2.59-2.76



Entry from Alexandria via LeMat-Bulk: an optimized crystal structure of Nb2Ru4Pt (PBE).

Calculated values
- Distance to the lowest polymorph of the same formula: 1352 meV per atom
- Formation energy from the elements: 1.2786 eV per atom
- Final energy: -54.33 eV per formula unit
- Total moment: 2.15 μB per cell

a b c (Å): 4.7162 4.7162 12.7809
angles (deg): 90.00 90.00 90.00
With the nearest neighbours (Å) after each atom.
Atoms (fractional coordinates):
1 Nb 0.0000 0.0000 0.1184  1 Ru 2.22
2 Nb 0.0000 0.0000 0.8816  1 Ru 2.22
3 Nb 0.5000 0.5000 0.3816  1 Ru 2.22
4 Nb 0.5000 0.5000 0.6184  1 Ru 2.22
5 Ru 0.0000 0.0000 0.2921  1 Nb 2.22
6 Ru 0.0000 0.0000 0.7079  1 Nb 2.22
7 Ru 0.0000 0.5000 0.0000  2 Pt 2.36
8 Ru 0.0000 0.5000 0.5000  2 Pt 2.36
9 Ru 0.5000 0.0000 0.0000  2 Pt 2.36
10 Ru 0.5000 0.0000 0.5000  2 Pt 2.36
11 Ru 0.5000 0.5000 0.2079  1 Nb 2.22
12 Ru 0.5000 0.5000 0.7921  1 Nb 2.22
13 Pt 0.0000 0.0000 0.5000  4 Ru 2.36
14 Pt 0.5000 0.5000 0.0000  4 Ru 2.36



Entry from Alexandria via LeMat-Bulk: an optimized crystal structure of Nb5Ru2Pt4 (PBE).

Calculated values
- Formation energy from the elements: -0.4741 eV per atom
- Final energy: -98.28 eV per formula unit
- Total moment: 0.00 μB per cell

a b c (Å): 7.1842 17.1150 2.9490
angles (deg): 90.00 90.00 90.00
With the nearest neighbours (Å) after each atom.
Atoms (fractional coordinates):
1 Nb 0.0000 0.0000 0.0000  4 Nb 2.82-2.95, 8 Pt 2.83-2.95
2 Nb 0.1434 0.4305 0.0000  2 Ru 2.67, 3 Nb 2.82-2.95, 6 Pt 2.85-2.93
3 Nb 0.2471 0.2139 0.0000  4 Ru 2.59-2.65, 2 Pt 2.88
4 Nb 0.2529 0.7139 0.0000  4 Ru 2.59-2.65, 2 Pt 2.88
5 Nb 0.3566 0.9305 0.0000  2 Ru 2.67, 3 Nb 2.82-2.95, 6 Pt 2.85-2.93
6 Nb 0.5000 0.5000 0.0000  4 Nb 2.82-2.95, 8 Pt 2.83-2.95
7 Nb 0.6434 0.0695 0.0000  2 Ru 2.67, 3 Nb 2.82-2.95, 6 Pt 2.85-2.93
8 Nb 0.7471 0.2861 0.0000  4 Ru 2.59-2.65, 2 Pt 2.88
9 Nb 0.7529 0.7861 0.0000  4 Ru 2.59-2.65, 2 Pt 2.88
10 Nb 0.8566 0.5695 0.0000  2 Ru 2.67, 3 Nb 2.82-2.95, 6 Pt 2.85-2.93
11 Ru 0.0493 0.3065 0.5000  6 Nb 2.59-2.67, 3 Pt 2.81-2.87
12 Ru 0.4507 0.8065 0.5000  6 Nb 2.59-2.67, 3 Pt 2.81-2.87
13 Ru 0.5493 0.1935 0.5000  6 Nb 2.59-2.67, 3 Pt 2.81-2.87
14 Ru 0.9507 0.6935 0.5000  6 Nb 2.59-2.67, 3 Pt 2.81-2.87
15 Pt 0.0685 0.8537 0.5000  8 Nb 2.86-3.11, 2 Ru 2.86-2.87, 3 Pt 2.89-2.95
16 Pt 0.2085 0.5704 0.5000  1 Ru 2.81, 8 Nb 2.83-2.93, 3 Pt 2.89-2.95
17 Pt 0.2915 0.0704 0.5000  1 Ru 2.81, 8 Nb 2.83-2.93, 3 Pt 2.89-2.95
18 Pt 0.4315 0.3537 0.5000  8 Nb 2.86-3.11, 2 Ru 2.86-2.87, 3 Pt 2.89-2.95
19 Pt 0.5685 0.6463 0.5000  8 Nb 2.86-3.11, 2 Ru 2.86-2.87, 3 Pt 2.89-2.95
20 Pt 0.7085 0.9296 0.5000  1 Ru 2.81, 8 Nb 2.83-2.93, 3 Pt 2.89-2.95
21 Pt 0.7915 0.4296 0.5000  1 Ru 2.81, 8 Nb 2.83-2.93, 3 Pt 2.89-2.95
22 Pt 0.9315 0.1463 0.5000  8 Nb 2.86-3.11, 2 Ru 2.86-2.87, 3 Pt 2.89-2.95



Entry from Alexandria via LeMat-Bulk: an optimized crystal structure of Nb9Ru4Pt11 (PBE).

Calculated values
- Formation energy from the elements: -0.3413 eV per atom
- Final energy: -202.37 eV per formula unit
- Total moment: 0.00 μB per cell

a b c (Å): 10.4016 10.4016 3.9588
angles (deg): 90.00 90.00 111.16
With the nearest neighbours (Å) after each atom.
Atoms (fractional coordinates):
1 Nb 0.0000 0.0000 0.0000  4 Ru 2.45
2 Nb 0.1232 0.6341 0.0000  1 Ru 2.55, 2 Pt 2.83
3 Nb 0.2920 0.4526 0.0000  1 Ru 2.61, 1 Nb 2.76, 6 Pt 2.79-2.89
4 Nb 0.3659 0.8768 0.0000  1 Ru 2.55, 2 Pt 2.83
5 Nb 0.4526 0.2920 0.0000  1 Ru 2.61, 1 Nb 2.76, 6 Pt 2.79-2.89
6 Nb 0.5474 0.7080 0.0000  1 Ru 2.61, 1 Nb 2.76, 6 Pt 2.79-2.89
7 Nb 0.6341 0.1232 0.0000  1 Ru 2.55, 2 Pt 2.83
8 Nb 0.7080 0.5474 0.0000  1 Ru 2.61, 1 Nb 2.76, 6 Pt 2.79-2.89
9 Nb 0.8768 0.3659 0.0000  1 Ru 2.55, 2 Pt 2.83
10 Ru 0.0541 0.2491 0.0000  3 Nb 2.45-2.61, 2 Pt 2.67
11 Ru 0.2491 0.0541 0.0000  3 Nb 2.45-2.61, 2 Pt 2.67
12 Ru 0.7509 0.9459 0.0000  3 Nb 2.45-2.61, 2 Pt 2.67
13 Ru 0.9459 0.7509 0.0000  3 Nb 2.45-2.61, 2 Pt 2.67
14 Pt 0.0959 0.4313 0.5000  2 Ru 2.67, 3 Pt 2.78-2.91, 6 Nb 2.79-2.91
15 Pt 0.1470 0.8530 0.5000  4 Ru 2.80, 4 Nb 2.96, 2 Pt 3.12
16 Pt 0.2293 0.2293 0.5000  4 Ru 2.75, 2 Pt 2.91, 4 Nb 2.94
17 Pt 0.3332 0.6668 0.5000  3 Pt 2.78-2.86, 8 Nb 2.88-2.89
18 Pt 0.4313 0.0959 0.5000  2 Ru 2.67, 3 Pt 2.78-2.91, 6 Nb 2.79-2.91
19 Pt 0.5000 0.5000 0.5000  8 Nb 2.84, 2 Pt 2.86
20 Pt 0.5687 0.9041 0.5000  2 Ru 2.67, 3 Pt 2.78-2.91, 6 Nb 2.79-2.91
21 Pt 0.6668 0.3332 0.5000  3 Pt 2.78-2.86, 8 Nb 2.88-2.89
22 Pt 0.7707 0.7707 0.5000  4 Ru 2.75, 2 Pt 2.91, 4 Nb 2.94
23 Pt 0.8530 0.1470 0.5000  4 Ru 2.80, 4 Nb 2.96, 2 Pt 3.12
24 Pt 0.9041 0.5687 0.5000  2 Ru 2.67, 3 Pt 2.78-2.91, 6 Nb 2.79-2.91



Entry from Alexandria via LeMat-Bulk: an optimized crystal structure of Nb3Ru2Pt (PBE).

Calculated values
- Formation energy from the elements: -0.3244 eV per atom
- Final energy: -56.75 eV per formula unit
- Total moment: 0.00 μB per cell

a b c (Å): 4.1444 7.5684 6.5580
angles (deg): 90.00 108.32 90.00
With the nearest neighbours (Å) after each atom.
Atoms (fractional coordinates):
1 Nb 0.0000 0.2417 0.0000  6 Ru 2.76-2.85, 2 Pt 2.86, 4 Nb 2.92
2 Nb 0.0000 0.7583 0.0000  6 Ru 2.76-2.85, 2 Pt 2.86, 4 Nb 2.92
3 Nb 0.3350 0.2373 0.6696  5 Ru 2.73-2.86, 3 Pt 2.87-2.88, 4 Nb 2.92-2.96
4 Nb 0.3350 0.7627 0.6696  5 Ru 2.73-2.86, 3 Pt 2.87-2.88, 4 Nb 2.92-2.96
5 Nb 0.6650 0.2373 0.3304  5 Ru 2.73-2.86, 3 Pt 2.87-2.88, 4 Nb 2.92-2.96
6 Nb 0.6650 0.7627 0.3304  5 Ru 2.73-2.86, 3 Pt 2.87-2.88, 4 Nb 2.92-2.96
7 Ru 0.1670 0.0000 0.3338  8 Nb 2.74-2.77, 4 Ru 2.93-2.94
8 Ru 0.5000 0.0000 0.0000  8 Nb 2.73-2.76, 4 Ru 2.93-2.94
9 Ru 0.5000 0.5000 0.0000  8 Nb 2.85-2.86, 4 Pt 2.94
10 Ru 0.8330 0.0000 0.6662  8 Nb 2.74-2.77, 4 Ru 2.93-2.94
11 Pt 0.1672 0.5000 0.3350  8 Nb 2.86-2.88, 2 Pt 2.91-2.92, 2 Ru 2.94
12 Pt 0.8328 0.5000 0.6650  8 Nb 2.86-2.88, 2 Pt 2.91-2.92, 2 Ru 2.94



Entry from Alexandria via LeMat-Bulk: an optimized crystal structure of NbRu2Pt (PBE).

Calculated values
- Formation energy from the elements: 0.2504 eV per atom
- Final energy: -33.66 eV per formula unit
- Total moment: 0.00 μB per cell

a b c (Å): 3.8582 3.8582 18.1953
angles (deg): 90.00 90.00 90.00
With the nearest neighbours (Å) after each atom.
Atoms (fractional coordinates):
1 Nb 0.0000 0.0000 0.0000  4 Ru 2.71, 4 Pt 2.73
2 Nb 0.0000 0.5000 0.2500  4 Ru 2.71, 4 Pt 2.73
3 Nb 0.5000 0.0000 0.7500  4 Ru 2.71, 4 Pt 2.73
4 Nb 0.5000 0.5000 0.5000  4 Ru 2.71, 4 Pt 2.73
5 Ru 0.2099 0.2500 0.6250  2 Ru 2.52, 2 Pt 2.60, 2 Nb 2.71
6 Ru 0.2500 0.7099 0.8750  2 Ru 2.52, 2 Pt 2.60, 2 Nb 2.71
7 Ru 0.2500 0.7901 0.3750  2 Ru 2.52, 2 Pt 2.60, 2 Nb 2.71
8 Ru 0.2901 0.2500 0.1250  2 Ru 2.52, 2 Pt 2.60, 2 Nb 2.71
9 Ru 0.7099 0.7500 0.1250  2 Ru 2.52, 2 Pt 2.60, 2 Nb 2.71
10 Ru 0.7500 0.2099 0.3750  2 Ru 2.52, 2 Pt 2.60, 2 Nb 2.71
11 Ru 0.7500 0.2901 0.8750  2 Ru 2.52, 2 Pt 2.60, 2 Nb 2.71
12 Ru 0.7901 0.7500 0.6250  2 Ru 2.52, 2 Pt 2.60, 2 Nb 2.71
13 Pt 0.0000 0.0000 0.5000  4 Ru 2.60, 4 Nb 2.73
14 Pt 0.0000 0.5000 0.7500  4 Ru 2.60, 4 Nb 2.73
15 Pt 0.5000 0.0000 0.2500  4 Ru 2.60, 4 Nb 2.73
16 Pt 0.5000 0.5000 0.0000  4 Ru 2.60, 4 Nb 2.73



Entry from Alexandria via LeMat-Bulk: an optimized crystal structure of NbRuPt3 (PBE).

Calculated values
- Distance to the lowest polymorph of the same formula: 0 meV per atom
- Formation energy from the elements: 1.4048 eV per atom
- Final energy: -30.44 eV per formula unit
- Total moment: 2.38 μB per cell

a b c (Å): 4.8162 4.8162 4.8162
angles (deg): 90.00 90.00 90.00
With the nearest neighbours (Å) after each atom.
Atoms (fractional coordinates):
1 Nb 0.0000 0.0000 0.0000  6 Pt 2.41
2 Ru 0.5000 0.5000 0.5000  12 Pt 3.41
3 Pt 0.0000 0.0000 0.5000  2 Nb 2.41
4 Pt 0.0000 0.5000 0.0000  2 Nb 2.41
5 Pt 0.5000 0.0000 0.0000  2 Nb 2.41



Entry from Alexandria via LeMat-Bulk: an optimized crystal structure of Nb3Ru2Pt2 (PBE).

Calculated values
- Formation energy from the elements: -0.3140 eV per atom
- Final energy: -63.04 eV per formula unit
- Total moment: 0.00 μB per cell

a b c (Å): 4.0792 19.4649 2.8656
angles (deg): 90.00 90.00 90.00
With the nearest neighbours (Å) after each atom.
Atoms (fractional coordinates):
1 Nb 0.0000 0.0000 0.0000  8 Pt 2.86, 4 Nb 2.87-3.02
2 Nb 0.0000 0.1550 0.0000  6 Ru 2.73-2.96, 3 Nb 2.87-3.02, 4 Pt 2.97
3 Nb 0.0000 0.8450 0.0000  6 Ru 2.73-2.96, 3 Nb 2.87-3.02, 4 Pt 2.97
4 Nb 0.5000 0.3450 0.0000  6 Ru 2.73-2.96, 3 Nb 2.87-3.02, 4 Pt 2.97
5 Nb 0.5000 0.5000 0.0000  8 Pt 2.86, 4 Nb 2.87-3.02
6 Nb 0.5000 0.6550 0.0000  6 Ru 2.73-2.96, 3 Nb 2.87-3.02, 4 Pt 2.97
7 Ru 0.0000 0.2881 0.5000  2 Ru 2.52, 1 Pt 2.72, 4 Nb 2.73
8 Ru 0.0000 0.7119 0.5000  2 Ru 2.52, 1 Pt 2.72, 4 Nb 2.73
9 Ru 0.5000 0.2119 0.5000  2 Ru 2.52, 1 Pt 2.72, 4 Nb 2.73
10 Ru 0.5000 0.7881 0.5000  2 Ru 2.52, 1 Pt 2.72, 4 Nb 2.73
11 Pt 0.0000 0.4280 0.5000  1 Ru 2.72, 3 Pt 2.80-2.87, 8 Nb 2.86-2.97
12 Pt 0.0000 0.5720 0.5000  1 Ru 2.72, 3 Pt 2.80-2.87, 8 Nb 2.86-2.97
13 Pt 0.5000 0.0720 0.5000  1 Ru 2.72, 3 Pt 2.80-2.87, 8 Nb 2.86-2.97
14 Pt 0.5000 0.9280 0.5000  1 Ru 2.72, 3 Pt 2.80-2.87, 8 Nb 2.86-2.97



Entry from Alexandria via LeMat-Bulk: an optimized crystal structure of Nb4RuPt3 (PBE).

Calculated values
- Formation energy from the elements: -0.5510 eV per atom
- Final energy: -72.09 eV per formula unit
- Total moment: 0.00 μB per cell

a b c (Å): 4.0420 4.0483 8.0014
angles (deg): 90.00 90.00 90.00
With the nearest neighbours (Å) after each atom.
Atoms (fractional coordinates):
1 Nb 0.0000 0.0000 0.0000  4 Nb 2.81, 4 Ru 2.86, 4 Pt 2.86
2 Nb 0.0000 0.0000 0.5000  8 Pt 2.83-2.86, 4 Nb 2.88
3 Nb 0.5000 0.0000 0.2443  4 Nb 2.81-2.88, 2 Ru 2.81, 6 Pt 2.86-2.88
4 Nb 0.5000 0.0000 0.7557  4 Nb 2.81-2.88, 2 Ru 2.81, 6 Pt 2.86-2.88
5 Ru 0.5000 0.5000 0.0000  8 Nb 2.81-2.86, 4 Pt 2.86
6 Pt 0.0000 0.5000 0.2527  2 Pt 2.83, 8 Nb 2.83-2.86, 2 Ru 2.86
7 Pt 0.0000 0.5000 0.7473  2 Pt 2.83, 8 Nb 2.83-2.86, 2 Ru 2.86
8 Pt 0.5000 0.5000 0.5000  4 Pt 2.83, 8 Nb 2.86-2.88



Entry from Alexandria via LeMat-Bulk: an optimized crystal structure of Nb2Ru3Pt2 (PBE).

Calculated values
- Distance to the lowest polymorph of the same formula: 0 meV per atom
- Formation energy from the elements: -0.2546 eV per atom
- Final energy: -61.83 eV per formula unit
- Total moment: 0.00 μB per cell

a b c (Å): 12.0514 2.8155 6.8743
angles (deg): 90.00 110.97 90.00
With the nearest neighbours (Å) after each atom.
Atoms (fractional coordinates):
1 Nb 0.0778 0.0000 0.2303  5 Ru 2.63-2.78, 4 Pt 2.81-2.84, 2 Nb 2.82
2 Nb 0.4222 0.5000 0.7697  5 Ru 2.63-2.78, 4 Pt 2.81-2.84, 2 Nb 2.82
3 Nb 0.5778 0.5000 0.2303  5 Ru 2.63-2.78, 4 Pt 2.81-2.84, 2 Nb 2.82
4 Nb 0.9222 0.0000 0.7697  5 Ru 2.63-2.78, 4 Pt 2.81-2.84, 2 Nb 2.82
5 Ru 0.0000 0.5000 0.5000  6 Ru 2.74-2.82, 4 Nb 2.75, 2 Pt 2.79
6 Ru 0.2091 0.0000 0.6287  3 Nb 2.63-2.78, 6 Ru 2.71-2.82, 2 Pt 2.84
7 Ru 0.2909 0.5000 0.3713  3 Nb 2.63-2.78, 6 Ru 2.71-2.82, 2 Pt 2.84
8 Ru 0.5000 0.0000 0.5000  6 Ru 2.74-2.82, 4 Nb 2.75, 2 Pt 2.79
9 Ru 0.7091 0.5000 0.6287  3 Nb 2.63-2.78, 6 Ru 2.71-2.82, 2 Pt 2.84
10 Ru 0.7909 0.0000 0.3713  3 Nb 2.63-2.78, 6 Ru 2.71-2.82, 2 Pt 2.84
11 Pt 0.1382 0.5000 0.9233  4 Ru 2.79-2.97, 4 Nb 2.81-2.84, 4 Pt 2.82-2.88
12 Pt 0.3618 0.0000 0.0767  4 Ru 2.79-2.97, 4 Nb 2.81-2.84, 4 Pt 2.82-2.88
13 Pt 0.6382 0.0000 0.9233  4 Ru 2.79-2.97, 4 Nb 2.81-2.84, 4 Pt 2.82-2.88
14 Pt 0.8618 0.5000 0.0767  4 Ru 2.79-2.97, 4 Nb 2.81-2.84, 4 Pt 2.82-2.88



Entry from Alexandria via LeMat-Bulk: an optimized crystal structure of NbRuPt (PBE).

Calculated values
- Distance to the lowest polymorph of the same formula: 0 meV per atom
- Formation energy from the elements: -0.4262 eV per atom
- Final energy: -26.66 eV per formula unit
- Total moment: 0.00 μB per cell

a b c (Å): 3.9915 11.8494 4.0204
angles (deg): 90.00 90.00 90.00
With the nearest neighbours (Å) after each atom.
Atoms (fractional coordinates):
1 Nb 0.0000 0.1000 0.2500  4 Ru 2.67-2.68, 6 Pt 2.84-2.93
2 Nb 0.0000 0.9000 0.7500  4 Ru 2.67-2.68, 6 Pt 2.84-2.93
3 Nb 0.5000 0.4000 0.7500  4 Ru 2.67-2.68, 6 Pt 2.84-2.93
4 Nb 0.5000 0.6000 0.2500  4 Ru 2.67-2.68, 6 Pt 2.84-2.93
5 Ru 0.0000 0.2487 0.7500  4 Nb 2.67-2.68, 4 Pt 2.81-2.85, 4 Ru 2.83
6 Ru 0.0000 0.7513 0.2500  4 Nb 2.67-2.68, 4 Pt 2.81-2.85, 4 Ru 2.83
7 Ru 0.5000 0.2513 0.2500  4 Nb 2.67-2.68, 4 Pt 2.81-2.85, 4 Ru 2.83
8 Ru 0.5000 0.7487 0.7500  4 Nb 2.67-2.68, 4 Pt 2.81-2.85, 4 Ru 2.83
9 Pt 0.0000 0.4187 0.2500  2 Pt 2.78, 4 Ru 2.81-2.85, 6 Nb 2.84-2.93
10 Pt 0.0000 0.5813 0.7500  2 Pt 2.78, 4 Ru 2.81-2.85, 6 Nb 2.84-2.93
11 Pt 0.5000 0.0813 0.7500  2 Pt 2.78, 4 Ru 2.81-2.85, 6 Nb 2.84-2.93
12 Pt 0.5000 0.9187 0.2500  2 Pt 2.78, 4 Ru 2.81-2.85, 6 Nb 2.84-2.93



Which value of final energy does entry 6 give?
-56.75 eV per formula unit



Which value of final energy does entry 1 give?
-78.74 eV per formula unit



Which of these has the highest formation energy from the elements?
NbRuPt3